Density functional theory data (PBEsol) for a relaxed structure of CoClF2. Values from VASP.

The structure in Quantum ESPRESSO input format:
```
&SYSTEM
  ibrav = 0, nat = 4, ntyp = 3
/
ATOMIC_SPECIES
F 19.00 F.upf
Co 58.93 Co.upf
Cl 35.45 Cl.upf
CELL_PARAMETERS angstrom
-0.737 -3.887 -0.840
3.076 -2.563 -0.572
0.796 -2.851 2.756
ATOMIC_POSITIONS crystal
F 0.250 0.250 0.250
F 0.750 0.750 0.750
Co 0.500 0.500 0.500
Cl 0.000 0.000 0.000
```

Calculated values
The value obtained for the polymorph energy (0 for the lowest one) is 651 meV per atom. Its raw formation energy is -228 meV/atom. The volume comes out at 47 Å³/cell. The space group is Fm-3m (225).

Density functional theory data (PBEsol) for a relaxed structure of CoCl3F. Values from VASP.

The structure in Quantum ESPRESSO input format:
```
&SYSTEM
  ibrav = 0, nat = 5, ntyp = 3
/
ATOMIC_SPECIES
Cl 35.45 Cl.upf
F 19.00 F.upf
Co 58.93 Co.upf
CELL_PARAMETERS angstrom
4.526 0.000 0.000
0.000 4.526 0.000
0.000 0.000 4.526
ATOMIC_POSITIONS crystal
Cl 0.000 0.000 0.500
Cl 0.500 0.000 0.000
Cl 0.000 0.500 0.000
F 0.000 0.000 0.000
Co 0.500 0.500 0.500
```

Calculated values
Its raw formation energy is 737 meV/atom. The volume comes out at 93 Å³/cell. The space group is Pm-3m (221).

Density functional theory data (PBEsol) for a relaxed structure of CoClF2. Values from VASP.

The structure in Quantum ESPRESSO input format:
```
&SYSTEM
  ibrav = 0, nat = 8, ntyp = 3
/
ATOMIC_SPECIES
Co 58.93 Co.upf
F 19.00 F.upf
Cl 35.45 Cl.upf
CELL_PARAMETERS angstrom
-1.673 5.746 0.031
-3.991 -4.272 -1.292
-4.363 -1.292 3.888
ATOMIC_POSITIONS crystal
Co 0.000 0.000 0.000
Co 0.750 0.500 0.750
F 0.875 0.750 0.875
F 0.875 0.750 0.375
F 0.875 0.250 0.875
F 0.375 0.250 0.875
Cl 0.250 0.500 0.250
Cl 0.500 0.000 0.500
```

Calculated values
The value obtained for the polymorph energy (0 for the lowest one) is 0 meV per atom. Its raw formation energy is -879 meV/atom. The volume comes out at 152 Å³/cell. The space group is Fd-3m (227).

Density functional theory data (PBEsol) for a relaxed structure of Fe2CoClF. Values from VASP.

The structure in Quantum ESPRESSO input format:
```
&SYSTEM
  ibrav = 0, nat = 5, ntyp = 4
/
ATOMIC_SPECIES
Cl 35.45 Cl.upf
Fe 55.84 Fe.upf
F 19.00 F.upf
Co 58.93 Co.upf
CELL_PARAMETERS angstrom
-1.862 -1.148 2.969
3.851 -0.492 2.225
-0.297 4.224 1.447
ATOMIC_POSITIONS crystal
Cl 0.500 0.500 0.500
Fe 0.000 0.500 0.000
Fe 0.000 0.000 0.500
F 0.500 0.000 0.000
Co 0.000 0.000 0.000
```

Calculated values
Its raw formation energy is 364 meV/atom. The volume comes out at 74 Å³/cell. The space group is P4/mmm (123).

Density functional theory data (PBEsol) for a relaxed structure of CoNClF2. Values from VASP.

The structure in Quantum ESPRESSO input format:
```
&SYSTEM
  ibrav = 0, nat = 5, ntyp = 4
/
ATOMIC_SPECIES
Cl 35.45 Cl.upf
F 19.00 F.upf
Co 58.93 Co.upf
N 14.01 N.upf
CELL_PARAMETERS angstrom
-1.855 -0.909 -2.474
1.408 -4.408 0.564
-3.543 -0.756 2.935
ATOMIC_POSITIONS crystal
Cl 0.000 0.000 0.000
F 0.000 0.500 0.000
F 0.000 0.000 0.500
Co 0.500 0.500 0.500
N 0.500 0.000 0.000
```

Calculated values
Its raw formation energy is 922 meV/atom. The volume comes out at 70 Å³/cell. The space group is P4/mmm (123).

Density functional theory data (PBEsol) for a relaxed structure of CoS2ClF. Values from VASP.

The structure in Quantum ESPRESSO input format:
```
&SYSTEM
  ibrav = 0, nat = 5, ntyp = 4
/
ATOMIC_SPECIES
S 32.06 S.upf
F 19.00 F.upf
Co 58.93 Co.upf
Cl 35.45 Cl.upf
CELL_PARAMETERS angstrom
-1.961 -1.123 3.568
3.662 0.246 2.090
-0.824 4.385 0.928
ATOMIC_POSITIONS crystal
S 0.000 0.500 0.000
S 0.500 0.000 0.000
F 0.500 0.500 0.500
Co 0.000 0.000 0.000
Cl 0.000 0.000 0.500
```

Calculated values
Its raw formation energy is 180 meV/atom. The volume comes out at 81 Å³/cell. The space group is P4/mmm (123).

Density functional theory data (PBEsol) for a relaxed structure of CoSCl2F. Values from VASP.

The structure in Quantum ESPRESSO input format:
```
&SYSTEM
  ibrav = 0, nat = 5, ntyp = 4
/
ATOMIC_SPECIES
Cl 35.45 Cl.upf
S 32.06 S.upf
F 19.00 F.upf
Co 58.93 Co.upf
CELL_PARAMETERS angstrom
-2.889 1.313 -1.592
-2.285 -4.604 0.351
-1.934 1.310 4.592
ATOMIC_POSITIONS crystal
Cl 0.000 0.000 0.500
Cl 0.000 0.500 0.000
S 0.500 0.000 0.000
F 0.000 0.000 0.000
Co 0.500 0.500 0.500
```

Calculated values
Its raw formation energy is 670 meV/atom. The volume comes out at 94 Å³/cell. The space group is P4/mmm (123).

Density functional theory data (PBEsol) for a relaxed structure of FeCo3Cl. Values from VASP.

The structure in Quantum ESPRESSO input format:
```
&SYSTEM
  ibrav = 0, nat = 5, ntyp = 3
/
ATOMIC_SPECIES
Co 58.93 Co.upf
Fe 55.84 Fe.upf
Cl 35.45 Cl.upf
CELL_PARAMETERS angstrom
-3.244 -2.123 -0.984
0.743 -2.530 3.008
-2.219 2.257 2.446
ATOMIC_POSITIONS crystal
Co 0.000 0.000 0.500
Co 0.000 0.500 0.000
Co 0.500 0.000 0.000
Fe 0.500 0.500 0.500
Cl 0.000 0.000 0.000
```

Calculated values
Its raw formation energy is 880 meV/atom. The volume comes out at 64 Å³/cell. The space group is Pm-3m (221).

Density functional theory data (PBEsol) for a relaxed structure of FeCoCl. Values from VASP.

The structure in Quantum ESPRESSO input format:
```
&SYSTEM
  ibrav = 0, nat = 3, ntyp = 3
/
ATOMIC_SPECIES
Co 58.93 Co.upf
Cl 35.45 Cl.upf
Fe 55.84 Fe.upf
CELL_PARAMETERS angstrom
-2.603 0.198 -1.281
-0.009 -0.987 2.735
0.784 5.548 1.130
ATOMIC_POSITIONS crystal
Co 0.322 0.322 0.644
Cl 0.002 0.002 0.004
Fe 0.676 0.676 0.352
```

Calculated values
Its raw formation energy is 332 meV/atom. The volume comes out at 42 Å³/cell. The space group is Fmm2 (42).

Density functional theory data (PBEsol) for a relaxed structure of Fe4CoCl. Values from VASP.

The structure in Quantum ESPRESSO input format:
```
&SYSTEM
  ibrav = 0, nat = 6, ntyp = 3
/
ATOMIC_SPECIES
Fe 55.84 Fe.upf
Cl 35.45 Cl.upf
Co 58.93 Co.upf
CELL_PARAMETERS angstrom
4.736 0.000 0.000
2.368 4.101 0.000
2.368 1.367 3.867
ATOMIC_POSITIONS crystal
Fe 0.626 0.123 0.626
Fe 0.626 0.626 0.123
Fe 0.123 0.626 0.626
Fe 0.626 0.626 0.626
Cl 0.250 0.250 0.250
Co 0.000 0.000 0.000
```

Calculated values
Its raw formation energy is 713 meV/atom. The volume comes out at 75 Å³/cell. The space group is F-43m (216).

Density functional theory data (PBEsol) for a relaxed structure of FeCo2Cl. Values from VASP.

The structure in Quantum ESPRESSO input format:
```
&SYSTEM
  ibrav = 0, nat = 4, ntyp = 3
/
ATOMIC_SPECIES
Fe 55.84 Fe.upf
Co 58.93 Co.upf
Cl 35.45 Cl.upf
CELL_PARAMETERS angstrom
3.458 0.000 0.000
0.000 3.458 0.000
-1.729 -1.729 4.021
ATOMIC_POSITIONS crystal
Fe 0.500 0.500 0.000
Co 0.000 0.000 0.000
Co 0.750 0.250 0.500
Cl 0.250 0.750 0.500
```

Calculated values
Its raw formation energy is 678 meV/atom. The volume comes out at 48 Å³/cell. The space group is I-4m2 (119).

Density functional theory data (PBEsol) for a relaxed structure of Sr3FeCoCl2O4. Values from VASP.

The structure in Quantum ESPRESSO input format:
```
&SYSTEM
  ibrav = 0, nat = 11, ntyp = 5
/
ATOMIC_SPECIES
Cl 35.45 Cl.upf
O 16.00 O.upf
Sr 87.62 Sr.upf
Co 58.93 Co.upf
Fe 55.84 Fe.upf
CELL_PARAMETERS angstrom
3.889 0.000 0.000
0.000 3.889 0.000
-1.944 -1.944 11.230
ATOMIC_POSITIONS crystal
Cl 0.299 0.299 0.599
Cl 0.705 0.705 0.410
O 0.076 0.576 0.152
O 0.576 0.076 0.152
O 0.924 0.424 0.847
O 0.424 0.924 0.847
Sr 0.150 0.150 0.300
Sr 0.001 0.001 0.002
Sr 0.849 0.849 0.697
Co 0.569 0.569 0.138
Fe 0.428 0.428 0.856
```

Calculated values
Its raw formation energy is -2061 meV/atom. The volume comes out at 170 Å³/cell. The space group is I4mm (107).